This record from Alexandria via LeMat-Bulk describes a geometry-optimized SiAg2W structure. The functional is GGA-PBE.

SG: No. 38
Energy relative to the elements, uncorrected in eV per atom: 0.326
DOS(E_F) in states/eV/cell: 4.7

```
data_SiAg2W
_space_group_name_H-M_alt 'P 1'
_space_group_IT_number 1
_cell_length_a 4.059
_cell_length_b 2.808
_cell_length_c 11.451
_cell_angle_alpha 90.00
_cell_angle_beta 90.00
_cell_angle_gamma 90.00
loop_
_space_group_symop_operation_xyz
'x,y,z'
loop_
_atom_site_label
_atom_site_fract_x
_atom_site_fract_y
_atom_site_fract_z
Si1 0.000 0.000 0.000
Si2 0.000 0.500 0.500
Ag1 0.000 0.000 0.227
Ag2 0.000 0.500 0.727
Ag3 0.500 0.000 0.846
Ag4 0.500 0.500 0.346
W1 0.500 0.000 0.575
W2 0.500 0.500 0.075
```